Crystalline Tb7Ni2Bi2 at its relaxed geometry, computed with GGA-PBE.

## Properties
E = -5.147 eV/atom

a = 3.7124 Å, b = 16.2695 Å, c = 10.0546 Å
α = 90.00°, β = 90.00°, γ = 90.00°
Space group Imm2 (No. 44)
Inequivalent atoms, fractional coordinates:
Tb 0.0000 0.0000 0.0000 x2
Tb 0.0000 0.1329 0.4385 x4
Tb 0.0000 0.3159 0.6316 x4
Tb 0.0000 0.3448 0.2886 x4
Ni 0.0000 0.2389 0.9471 x4
Bi 0.0000 0.0000 0.6778 x2
Bi 0.0000 0.5000 0.7690 x2



Crystalline Ce4NdIn at its relaxed geometry, computed with GGA-PBE.

## Properties
E = -5.117 eV/atom

a = 8.8630 Å, b = 8.8630 Å, c = 8.8630 Å
α = 90.00°, β = 90.00°, γ = 90.00°
Space group F-43m (No. 216)
Inequivalent atoms, fractional coordinates:
Ce 0.1137 0.1137 0.3863 x16
Nd 0.0000 0.0000 0.0000 x4
In 0.2500 0.2500 0.7500 x4



Crystalline RbAgCl3 at its relaxed geometry, computed with GGA-PBE.

## Properties
E_form (uncorrected) = -0.940 eV/atom

a = 11.7575 Å, b = 12.3915 Å, c = 9.5370 Å
α = 90.00°, β = 108.43°, γ = 90.00°
Space group C2/c (No. 15)
Inequivalent atoms, fractional coordinates:
Rb 0.0000 0.1611 0.2500 x4
Rb 0.0000 0.2150 0.7500 x4
Ag 0.1326 0.4565 0.1555 x8
Cl 0.0522 0.3596 0.4874 x8
Cl 0.1720 0.0180 0.6561 x8
Cl 0.2306 0.1746 0.0476 x8



Crystalline Nd6Dy7Y16 at its relaxed geometry, computed with GGA-PBE.

## Properties
E = -5.423 eV/atom

a = 15.9022 Å, b = 15.9022 Å, c = 15.9022 Å
α = 90.00°, β = 90.00°, γ = 90.00°
Space group Fm-3m (No. 225)
Inequivalent atoms, fractional coordinates:
Nd 0.0000 0.0000 0.2286 x24
Dy 0.0000 0.0000 0.5000 x4
Dy 0.0000 0.2500 0.2500 x24
Y 0.1254 0.1254 0.3746 x32
Y 0.1511 0.1511 0.1511 x32



Crystalline YTa4N8 at its relaxed geometry, computed with GGA-PBE.

## Properties
E_form (uncorrected) = -0.879 eV/atom

a = 6.2178 Å, b = 6.2178 Å, c = 16.9054 Å
α = 90.00°, β = 90.00°, γ = 120.00°
Space group R-3m (No. 166, hexagonal axes)
Inequivalent atoms, fractional coordinates:
Y 0.0000 0.0000 0.0000 x3
Ta 0.0000 0.0000 0.5000 x3
Ta 0.0000 0.5000 0.5000 x9
N 0.0000 0.0000 0.2277 x6
N 0.0036 0.5018 0.7674 x18



Crystalline Sm4Tl2F at its relaxed geometry, computed with GGA-PBE.

## Properties
E_form (uncorrected) = -0.864 eV/atom

a = 4.7457 Å, b = 4.7457 Å, c = 17.5545 Å
α = 90.00°, β = 90.00°, γ = 90.00°
Space group I4/mmm (No. 139)
Inequivalent atoms, fractional coordinates:
Sm 0.0000 0.0000 0.1843 x4
Sm 0.0000 0.5000 0.0000 x4
Tl 0.0000 0.0000 0.3657 x4
F 0.0000 0.0000 0.0000 x2



Crystalline Cs3SrGa2O6 at its relaxed geometry, computed with GGA-PBE.

## Properties
E_form (uncorrected) = -1.656 eV/atom

a = 6.4974 Å, b = 6.4974 Å, c = 7.9729 Å
α = 90.00°, β = 90.00°, γ = 120.00°
Space group P-3m1 (No. 164)
Inequivalent atoms, fractional coordinates:
Cs 0.0000 0.0000 0.0000 x1
Cs 0.3333 0.6667 0.7380 x2
Sr 0.0000 0.0000 0.5000 x1
Ga 0.3333 0.6667 0.2948 x2
O 0.1743 0.3486 0.2966 x6



Crystalline CaP2 at its relaxed geometry, computed with GGA-PBE.

## Properties
E = -4.498 eV/atom

a = 7.6887 Å, b = 7.6887 Å, c = 7.6887 Å
α = 90.00°, β = 90.00°, γ = 90.00°
Space group Fd-3m (No. 227, origin choice 2)
Inequivalent atoms, fractional coordinates:
Ca 0.1250 0.1250 0.1250 x8
P 0.0000 0.0000 0.5000 x16